Entry from Alexandria via LeMat-Bulk: an optimized crystal structure of Cs2WF5 (GGA+U).

abc: 8.2321 6.3344 13.0471
angles: 90.00 90.00 90.00
Last column: nearest neighbours and their distance in Å.
Element x y z (fractional)
Cs 0.0030 0.2500 0.2290  10 F 3.02-3.38
Cs 0.1442 0.7500 0.4159  8 F 3.09-3.37
Cs 0.3558 0.2500 0.9159  8 F 3.09-3.37
Cs 0.4970 0.7500 0.7290  10 F 3.02-3.38
Cs 0.5030 0.2500 0.2710  10 F 3.02-3.38
Cs 0.6442 0.7500 0.0841  8 F 3.09-3.37
Cs 0.8558 0.2500 0.5841  8 F 3.09-3.37
Cs 0.9970 0.7500 0.7710  10 F 3.02-3.38
W 0.1564 0.7500 0.0600  6 F 2.09-2.19
W 0.3436 0.2500 0.5600  6 F 2.09-2.19
W 0.6564 0.7500 0.4400  6 F 2.09-2.19
W 0.8436 0.2500 0.9400  6 F 2.09-2.19
F 0.0000 0.0000 0.0000  2 W 2.19
F 0.0000 0.5000 0.0000  2 W 2.19
F 0.0146 0.7500 0.1935  1 W 2.10
F 0.1944 0.0084 0.6151  1 W 2.09
F 0.1944 0.4916 0.6151  1 W 2.09
F 0.2131 0.2500 0.4192  1 W 2.13
F 0.2869 0.7500 0.9192  1 W 2.13
F 0.3056 0.5084 0.1151  1 W 2.09
F 0.3056 0.9916 0.1151  1 W 2.09
F 0.4854 0.2500 0.6935  1 W 2.10
F 0.5000 0.0000 0.5000  2 W 2.19
F 0.5000 0.5000 0.5000  2 W 2.19
F 0.5146 0.7500 0.3065  1 W 2.10
F 0.6944 0.0084 0.8849  1 W 2.09
F 0.6944 0.4916 0.8849  1 W 2.09
F 0.7131 0.2500 0.0808  1 W 2.13
F 0.7869 0.7500 0.5808  1 W 2.13
F 0.8056 0.5084 0.3849  1 W 2.09
F 0.8056 0.9916 0.3849  1 W 2.09
F 0.9854 0.2500 0.8065  1 W 2.10

Calculated total energy = -0.370 Ry per atom
Total moment = 3.000 μB/f.u.